Compound: Tb4Ag2Ir
Source: Alexandria via LeMat-Bulk
Functional: GGA-PBE
Structure: optimized geometry

The structure in POSCAR format:
```
Tb4Ag2Ir
1.0
2.523 1.456 8.191
-2.523 1.456 8.191
0.000 -2.913 8.191
Tb Ag Ir
4 2 1
direct
0.120 0.120 0.120
0.371 0.371 0.371
0.629 0.629 0.629
0.880 0.880 0.880
0.246 0.246 0.246
0.754 0.754 0.754
0.000 0.000 0.000
```

Electronic total energy (eV per atom): -5.070
Energy relative to the elements (meV/atom): -343.8
Total magnetization (μB/cell): 0.00
DOS at the Fermi energy (states/eV/f.u.): 6.88